[1]
DFT (PBE-GGA) results for crystalline Er4Si2S3O7 at its relaxed geometry.

```
Er4Si2S3O7
1.0
-5.790 5.790 6.735
5.790 -5.790 6.735
5.790 5.790 -6.735
Er Si S O
16 8 12 28
Cartesian
2.003 -0.892 1.684
9.577 -0.892 1.684
5.790 0.177 2.144
2.003 4.898 -1.684
3.787 -0.892 5.051
3.072 2.895 1.223
8.509 2.895 1.223
0.000 0.177 4.590
5.790 5.614 2.144
-2.718 2.895 5.512
2.718 2.895 5.512
2.003 6.682 1.684
3.787 0.892 8.418
0.000 5.614 4.590
-3.787 6.682 5.051
3.787 6.682 5.051
4.343 2.895 -2.083
7.237 2.895 -2.083
0.000 1.448 1.284
0.000 4.342 1.284
5.790 1.448 5.451
5.790 4.342 5.451
-1.447 2.895 8.818
1.447 2.895 8.818
4.108 0.000 0.000
7.472 0.000 0.000
5.790 -2.895 5.051
2.895 7.004 -3.367
2.895 1.213 3.367
5.790 2.895 1.684
4.108 5.790 0.000
1.682 0.000 6.735
0.000 2.895 5.051
-2.895 4.577 3.367
2.895 4.577 3.367
0.000 8.685 1.684
4.156 -1.447 2.818
7.424 -1.447 2.818
1.448 1.261 0.550
10.132 1.261 0.550
5.790 2.895 -1.331
4.156 4.343 -2.818
1.634 -1.447 3.917
3.076 2.895 -1.030
8.504 2.895 -1.030
0.000 0.181 2.338
5.790 0.181 4.397
0.000 2.895 2.037
1.448 4.529 0.550
4.342 -1.261 7.284
1.448 7.051 -0.550
4.342 1.261 6.185
5.790 2.895 4.698
0.000 5.609 2.338
5.790 5.609 4.397
-2.714 2.895 7.764
2.714 2.895 7.764
4.156 7.237 2.818
1.634 1.447 9.553
0.000 2.895 8.066
-4.342 4.529 6.185
4.342 4.529 6.185
-1.634 7.237 3.917
1.634 7.237 3.917
```

Computed properties:
SG: I4_1/amd, No. 141

[2]
DFT (PBE-GGA) results for crystalline Nb4Al3Mo2N3 at its relaxed geometry.

```
Nb4Al3Mo2N3
1.0
4.474 -2.579 0.000
4.474 2.579 0.000
-2.973 0.000 14.270
Nb Al Mo N
8 6 4 6
Cartesian
0.749 0.439 1.355
0.752 0.429 5.778
-0.738 -0.439 8.490
-0.735 -0.429 12.913
6.709 0.429 1.357
6.712 0.439 5.780
5.222 -0.429 8.492
5.226 -0.439 12.915
3.730 2.051 3.567
0.847 0.365 10.697
2.333 -0.365 3.562
3.641 0.365 10.707
5.128 -0.365 3.572
2.244 -2.051 10.702
3.738 0.430 1.351
3.723 0.430 5.784
2.251 -0.430 8.485
2.237 -0.430 12.919
2.237 1.289 0.000
2.237 1.293 7.135
5.224 1.293 0.000
0.750 -1.289 7.135
3.724 -1.293 0.000
3.737 -1.293 7.135
```

Computed properties:
SG: C2/c, No. 15

[3]
DFT (PBE-GGA) results for crystalline LaZnInSe3 at its relaxed geometry.

```
LaZnInSe3
1.0
8.548 0.000 0.000
0.000 4.430 0.000
0.000 0.000 16.842
La Zn In Se
4 4 4 12
Cartesian
2.105 1.107 0.790
2.169 3.322 9.210
6.379 1.107 7.631
6.443 3.322 16.052
1.208 1.107 6.051
3.066 3.322 14.472
5.482 1.107 2.370
7.340 3.322 10.791
0.621 1.107 13.203
3.653 3.322 4.782
4.896 1.107 12.060
7.927 3.322 3.639
8.544 1.107 10.020
0.004 3.322 6.822
1.074 3.322 15.930
1.644 1.107 3.663
2.630 3.322 12.084
3.200 1.107 7.509
4.270 1.107 15.242
4.278 3.322 1.599
5.349 3.322 9.332
5.918 1.107 4.758
6.904 3.322 13.179
7.474 1.107 0.911
```

Computed properties:
Polymorph energy (0 for the lowest one): 61 meV/atom
SG: Pnma, No. 62

[4]
DFT (PBE-GGA) results for crystalline HfSi2Bi at its relaxed geometry.

```
HfSi2Bi
1.0
0.000 3.483 3.483
3.483 0.000 3.483
3.483 3.483 0.000
Hf Si Bi
1 2 1
Cartesian
0.000 0.000 0.000
1.741 1.741 1.741
3.483 3.483 3.483
5.224 5.224 5.224
```

Computed properties:
SG: F-43m, No. 216

Calculated final energy (eV per atom), listed in the same order as above: -7.619; -8.727; -4.286; -5.667